(1)
SrV2Rh, optimized geometry, DFT PBE; relative energy among the computed polymorphs = 53.0 meV/atom; density of states at the Fermi level = 1.380 states/eV per atom; ρ = 7.1 g cm⁻³; E_form = 757 meV/atom; total energy = -6.060 eV/atom
1.0
0.000 3.240 3.240
3.240 0.000 3.240
3.240 3.240 0.000
V Sr Rh
2 1 1
Cartesian
1.620 1.620 1.620
4.860 4.860 4.860
0.000 0.000 0.000
3.240 3.240 3.240

=====

(2)
NdBiS2, optimized geometry, DFT PBE; density of states at the Fermi level = 0.420 states/eV per atom; ρ = 5.5 g cm⁻³; total energy = -4.729 eV/atom
1.0
-0.617 -3.203 -2.470
2.649 -0.799 -3.015
5.264 -6.349 3.531
S Bi Nd
2 1 1
Cartesian
3.508 -5.615 -3.761
3.789 -4.736 1.808
3.648 -5.176 -0.977
0.000 0.000 0.000

=====

(3)
CsZrCd2Cl, optimized geometry, DFT PBE; density of states at the Fermi level = 1.474 states/eV per atom; ρ = 3.2 g cm⁻³; total energy = -1.309 eV/atom
1.0
6.528 0.000 0.000
0.000 5.932 0.000
0.000 0.000 6.528
Cd Cs Cl Zr
2 1 1 1
Cartesian
3.264 0.000 0.000
0.000 0.000 3.264
0.000 0.000 0.000
3.264 2.966 3.264
0.000 2.966 0.000

=====

(4)
LiCdP2S6, optimized geometry, DFT PBE; density of states at the Fermi level = 0.211 states/eV per atom; ρ = 2.8 g cm⁻³; total energy = -4.178 eV/atom
1.0
7.076 0.133 0.138
2.441 7.985 0.315
2.441 0.019 7.991
S Li P Cd
12 2 4 2
Cartesian
9.338 3.285 7.485
3.002 1.549 0.395
6.878 4.895 5.634
5.080 3.241 2.809
8.956 6.587 8.049
5.418 7.733 6.812
2.620 4.851 0.959
6.540 0.403 1.632
8.618 2.754 3.412
6.158 0.845 4.952
3.340 5.383 5.031
5.800 7.291 3.491
4.210 2.054 6.096
7.748 6.082 2.348
2.950 3.021 1.823
9.008 5.116 6.621
5.470 6.360 5.288
6.488 1.776 3.155
4.210 6.863 1.462
7.748 1.273 6.982

=====

(5)
FeNi3Pt6, optimized geometry, DFT PBE; relative energy among the computed polymorphs = 168.8 meV/atom; density of states at the Fermi level = 1.432 states/eV per atom; ρ = 15.4 g cm⁻³; E_form = 80 meV/atom; total energy = -6.125 eV/atom
1.0
5.248 0.000 0.000
0.000 7.807 -0.477
0.000 -2.207 7.503
Pt Ni Fe
12 6 2
Cartesian
2.166 2.324 6.785
2.172 7.247 -0.031
3.509 0.376 5.445
0.758 1.499 2.059
0.758 3.927 5.105
0.885 5.223 1.582
4.790 3.275 0.241
3.382 1.673 1.921
4.790 6.096 3.780
3.382 4.100 4.967
4.796 -1.648 7.057
2.166 -0.496 3.246
1.926 2.057 -0.108
4.785 3.508 2.949
4.550 3.543 7.134
4.550 -0.564 1.981
2.161 2.092 4.077
1.926 6.164 5.046
0.750 0.527 5.324
3.374 5.072 1.702

=====

(6)
Sc4AlSn, optimized geometry, DFT PBE; relative energy among the computed polymorphs = 0.0 meV/atom; density of states at the Fermi level = 1.442 states/eV per atom; ρ = 3.5 g cm⁻³; E_form = -188 meV/atom; total energy = -5.700 eV/atom
1.0
4.782 0.000 0.000
2.391 4.134 0.239
2.391 0.925 7.887
Sc Al Sn
4 1 1
Cartesian
4.782 2.353 7.104
7.173 3.970 3.054
2.391 1.089 5.072
4.782 2.706 1.022
0.000 0.000 0.000
4.782 2.530 4.063

=====

(7)
Sm2CuP3Rh12, optimized geometry, DFT PBE; density of states at the Fermi level = 0.707 states/eV per atom; ρ = 9.0 g cm⁻³; E_form = -201 meV/atom; total energy = -6.756 eV/atom
1.0
6.918 -0.875 -0.621
2.655 6.447 -0.621
2.655 1.545 6.290
P Sm Rh Cu
3 2 12 1
Cartesian
1.328 0.773 3.145
3.459 -0.438 -0.310
1.328 3.224 -0.310
7.440 4.331 3.072
4.787 2.787 1.977
5.632 3.278 5.337
5.242 0.613 0.435
6.596 0.997 3.719
3.122 4.255 0.435
6.986 6.504 4.613
9.106 5.300 1.176
5.632 6.120 1.330
4.125 5.243 3.719
3.122 1.817 3.872
9.106 2.862 4.613
8.103 1.875 1.330
6.596 3.839 -0.288
0.000 0.000 0.000